Record 1
VASP calculation (PBE) on Tb3PmPrDy after structural relaxation.

Cell: 10.3875 10.3875 7.0345 Å, 90.27 90.27 31.79°
Sites, in units of the cell vectors:
1 Tb 0.0218 0.0218 0.2413
2 Tb 0.2798 0.2798 0.2539
3 Tb 0.3352 0.3352 0.7658
4 Tb 0.6648 0.6648 0.2342
5 Tb 0.7202 0.7202 0.7461
6 Tb 0.9782 0.9782 0.7587
7 Pm 0.4457 0.4457 0.2386
8 Pm 0.5543 0.5543 0.7614
9 Pr 0.1460 0.1460 0.5276
10 Pr 0.8540 0.8540 0.4724
11 Dy 0.1491 0.1491 0.9605
12 Dy 0.8509 0.8509 0.0395

Output
**VASP energy**: -4.4848 eV/atom
**E_form**: 0.186 eV/atom

=====

Record 2
VASP calculation (PBE) on TiNb4Rh after structural relaxation.

Cell: 3.2935 3.2935 9.6111 Å, 90.00 90.00 90.00°
Sites, in units of the cell vectors:
1 Ti 0.0000 0.0000 0.0000
2 Nb 0.0000 0.0000 0.3361
3 Nb 0.0000 0.0000 0.6639
4 Nb 0.5000 0.5000 0.1685
5 Nb 0.5000 0.5000 0.8315
6 Rh 0.5000 0.5000 0.5000

Output
**VASP energy**: -9.3864 eV/atom
**E_form**: -0.132 eV/atom

=====

Record 3
VASP calculation (PBE) on Li4TbTm3Te8 after structural relaxation.

Cell: 8.6305 8.6305 8.6305 Å, 60.01 60.01 60.01°
Sites, in units of the cell vectors:
1 Li 0.0000 0.0000 0.0000
2 Li 0.0000 0.5000 0.5000
3 Li 0.5000 0.0000 0.5000
4 Li 0.5000 0.5000 0.0000
5 Tb 0.5000 0.5000 0.5000
6 Tm 0.0000 0.0000 0.5000
7 Tm 0.0000 0.5000 0.0000
8 Tm 0.5000 0.0000 0.0000
9 Te 0.2470 0.2470 0.7520
10 Te 0.2470 0.7520 0.2470
11 Te 0.2480 0.7530 0.7530
12 Te 0.2507 0.2507 0.2507
13 Te 0.7493 0.7493 0.7493
14 Te 0.7520 0.2470 0.2470
15 Te 0.7530 0.2480 0.7530
16 Te 0.7530 0.7530 0.2480

Output
**E_form (uncorrected)**: -1.28 eV/atom
**VASP energy**: -4.4543 eV/atom

=====

Record 4
VASP calculation (PBE) on Er3Ag3AsO8 after structural relaxation.

Cell: 6.7107 6.7107 6.9227 Å, 119.09 119.09 60.02°
Sites, in units of the cell vectors:
1 Er 0.0000 0.0000 0.0000
2 Er 0.0000 0.5000 0.0000
3 Er 0.5000 0.0000 0.0000
4 Ag 0.0000 0.5000 0.5000
5 Ag 0.5000 0.0000 0.5000
6 Ag 0.5000 0.5000 0.5000
7 As 0.5000 0.5000 0.0000
8 O 0.2281 0.2281 0.1835
9 O 0.2638 0.7110 0.1852
10 O 0.2891 0.2891 0.8150
11 O 0.2890 0.7362 0.8148
12 O 0.7110 0.2638 0.1852
13 O 0.7109 0.7109 0.1850
14 O 0.7362 0.2890 0.8148
15 O 0.7719 0.7719 0.8165

Output
**E_form (uncorrected)**: -1.90 eV/atom
**VASP energy**: -6.3354 eV/atom

=====

Record 5
VASP calculation (PBE) on AcY3B4O12 after structural relaxation.

Cell: 6.6022 6.6022 6.6022 Å, 102.18 102.18 102.18°
Sites, in units of the cell vectors:
1 Ac 0.0000 0.0000 0.0000
2 Y 0.0000 0.5396 0.4604
3 Y 0.4604 0.0000 0.5396
4 Y 0.5396 0.4604 0.0000
5 B 0.0417 0.5000 0.9583
6 B 0.5000 0.5000 0.5000
7 B 0.5000 0.9583 0.0417
8 B 0.9583 0.0417 0.5000
9 O 0.0280 0.6261 0.8153
10 O 0.0936 0.9064 0.5000
11 O 0.1847 0.3739 0.9720
12 O 0.3649 0.6351 0.5000
13 O 0.3739 0.9720 0.1847
14 O 0.5000 0.0936 0.9064
15 O 0.5000 0.3649 0.6351
16 O 0.6261 0.8153 0.0280
17 O 0.6351 0.5000 0.3649
18 O 0.8153 0.0280 0.6261
19 O 0.9064 0.5000 0.0936
20 O 0.9720 0.1847 0.3739

Output
**E_form (uncorrected)**: -3.09 eV/atom
**VASP energy**: -8.5737 eV/atom

=====

Record 6
VASP calculation (PBE) on PmNiAs2Rh5 after structural relaxation.

Cell: 4.0564 4.0564 11.4496 Å, 90.00 90.00 90.00°
Sites, in units of the cell vectors:
1 Pm 0.0000 0.0000 0.0000
2 Ni 0.5000 0.5000 0.5000
3 As 0.5000 0.5000 0.3030
4 As 0.5000 0.5000 0.6970
5 Rh 0.0000 0.5000 0.1874
6 Rh 0.0000 0.5000 0.8126
7 Rh 0.5000 0.0000 0.1874
8 Rh 0.5000 0.0000 0.8126
9 Rh 0.5000 0.5000 0.0000

Output
**VASP energy**: -6.3873 eV/atom
**E_form**: -0.100 eV/atom

=====

Record 7
VASP calculation (PBE) on Hf3ZrRe after structural relaxation.

Cell: 4.9137 4.9137 4.9137 Å, 90.00 90.00 90.00°
Sites, in units of the cell vectors:
1 Hf 0.0000 0.0000 0.5000
2 Hf 0.0000 0.5000 0.0000
3 Hf 0.5000 0.0000 0.0000
4 Zr 0.0000 0.0000 0.0000
5 Re 0.5000 0.5000 0.5000

Output
**VASP energy**: -8.3740 eV/atom
**E_form**: 1.797 eV/atom

=====

Record 8
VASP calculation (PBE) on ThGa3Ir2 after structural relaxation.

Cell: 8.3460 8.3460 8.4084 Å, 119.20 119.20 27.13°
Sites, in units of the cell vectors:
1 Th 0.1402 0.1402 0.1760
2 Th 0.8598 0.8598 0.8240
3 Ga 0.0292 0.0292 0.6789
4 Ga 0.3224 0.3224 0.0929
5 Ga 0.3608 0.3608 0.5051
6 Ga 0.6392 0.6392 0.4949
7 Ga 0.6776 0.6776 0.9071
8 Ga 0.9708 0.9708 0.3211
9 Ir 0.2012 0.2012 0.7261
10 Ir 0.5004 0.5004 0.1666
11 Ir 0.4996 0.4996 0.8334
12 Ir 0.7988 0.7988 0.2739

Output
**VASP energy**: -6.3062 eV/atom
**E_form**: -0.602 eV/atom

=====

Record 9
VASP calculation (PBE) on Ce2ScZn after structural relaxation.

Cell: 12.0268 12.0268 12.0268 Å, 14.93 14.93 14.93°
Sites, in units of the cell vectors:
1 Ce 0.0869 0.0869 0.0869
2 Ce 0.9131 0.9131 0.9131
3 Sc 0.5000 0.5000 0.5000
4 Zn 0.0000 0.0000 0.0000

Output
**VASP energy**: -4.6091 eV/atom
**E_form**: 0.259 eV/atom

=====

Record 10
VASP calculation (PBE) on Nd3YSb3 after structural relaxation.

Cell: 8.2484 8.2484 8.2484 Å, 67.80 67.80 67.80°
Sites, in units of the cell vectors:
1 Nd 0.0925 0.8209 0.3482
2 Nd 0.1791 0.6518 0.9075
3 Nd 0.3482 0.0925 0.8209
4 Nd 0.6518 0.9075 0.1791
5 Nd 0.8209 0.3482 0.0925
6 Nd 0.9075 0.1791 0.6518
7 Y 0.3327 0.3327 0.3327
8 Y 0.6673 0.6673 0.6673
9 Sb 0.0733 0.4682 0.6938
10 Sb 0.3062 0.9267 0.5318
11 Sb 0.4682 0.6938 0.0733
12 Sb 0.5318 0.3062 0.9267
13 Sb 0.6938 0.0733 0.4682
14 Sb 0.9267 0.5318 0.3062

Output
**E_form (uncorrected)**: -0.95 eV/atom
**VASP energy**: -5.6868 eV/atom

=====

Record 11
VASP calculation (PBE) on Na4U3PaN8 after structural relaxation.

Cell: 7.0005 7.0005 7.0005 Å, 60.71 60.71 60.71°
Sites, in units of the cell vectors:
1 Na 0.0000 0.0000 0.0000
2 Na 0.0000 0.5000 0.5000
3 Na 0.5000 0.0000 0.5000
4 Na 0.5000 0.5000 0.0000
5 U 0.0000 0.0000 0.5000
6 U 0.0000 0.5000 0.0000
7 U 0.5000 0.0000 0.0000
8 Pa 0.5000 0.5000 0.5000
9 N 0.2223 0.7291 0.7291
10 N 0.2268 0.2268 0.2268
11 N 0.2709 0.2709 0.7777
12 N 0.2709 0.7777 0.2709
13 N 0.7291 0.2223 0.7291
14 N 0.7291 0.7291 0.2223
15 N 0.7732 0.7732 0.7732
16 N 0.7777 0.2709 0.2709

Output
**E_form (uncorrected)**: -1.08 eV/atom
**VASP energy**: -8.2811 eV/atom

=====

Record 12
VASP calculation (PBE) on Rb3Mg2PaTe6 after structural relaxation.

Cell: 7.6895 7.6895 8.9134 Å, 98.26 98.26 120.03°
Sites, in units of the cell vectors:
1 Rb 0.0000 0.0000 0.0000
2 Rb 0.3328 0.6672 0.0000
3 Rb 0.6672 0.3328 0.0000
4 Mg 0.1667 0.8333 0.5000
5 Mg 0.8333 0.1667 0.5000
6 Pa 0.5000 0.5000 0.5000
7 Te 0.1030 0.4357 0.3074
8 Te 0.2316 0.2316 0.6925
9 Te 0.4357 0.1030 0.3074
10 Te 0.5643 0.8970 0.6926
11 Te 0.7684 0.7684 0.3075
12 Te 0.8970 0.5643 0.6926

Output
**E_form (uncorrected)**: -0.96 eV/atom
**VASP energy**: -3.8310 eV/atom

=====

Record 13
VASP calculation (PBE) on ErNiHgPd after structural relaxation.

Cell: 4.6871 4.6871 4.6871 Å, 60.00 60.00 60.00°
Sites, in units of the cell vectors:
1 Er 0.0000 0.0000 0.0000
2 Ni 0.7500 0.7500 0.7500
3 Hg 0.5000 0.5000 0.5000
4 Pd 0.2500 0.2500 0.2500

Output
**VASP energy**: -4.4141 eV/atom
**E_form**: -0.454 eV/atom

=====

Record 14
VASP calculation (PBE) on AcPu2Cu2Ge2 after structural relaxation.

Cell: 9.8222 9.8222 9.8222 Å, 23.97 23.97 23.97°
Sites, in units of the cell vectors:
1 Ac 0.0000 0.0000 0.0000
2 Pu 0.1525 0.1525 0.1525
3 Pu 0.8475 0.8475 0.8475
4 Cu 0.4216 0.4216 0.4216
5 Cu 0.5784 0.5784 0.5784
6 Ge 0.2543 0.2543 0.2543
7 Ge 0.7457 0.7457 0.7457

Output
**VASP energy**: -7.3957 eV/atom
**E_form**: -0.224 eV/atom

=====

Record 15
VASP calculation (PBE) on YErTmZr after structural relaxation.

Cell: 5.4736 5.4736 5.4736 Å, 60.00 60.00 60.00°
Sites, in units of the cell vectors:
1 Y 0.0000 0.0000 0.0000
2 Er 0.2500 0.2500 0.2500
3 Tm 0.7500 0.7500 0.7500
4 Zr 0.5000 0.5000 0.5000

Output
**VASP energy**: -5.8077 eV/atom
**E_form**: 0.204 eV/atom

=====

Record 16
VASP calculation (PBE) on Tc2GeAu after structural relaxation.

Cell: 4.4256 4.4256 4.4256 Å, 60.00 60.00 60.00°
Sites, in units of the cell vectors:
1 Tc 0.2500 0.2500 0.2500
2 Tc 0.7500 0.7500 0.7500
3 Ge 0.0000 0.0000 0.0000
4 Au 0.5000 0.5000 0.5000

Output
**VASP energy**: -6.9041 eV/atom
**E_form**: 0.253 eV/atom

=====

Record 17
VASP calculation (PBE) on NbCdSi3 after structural relaxation.

Cell: 4.9360 4.9360 4.9360 Å, 90.00 90.00 90.00°
Sites, in units of the cell vectors:
1 Nb 0.0000 0.0000 0.0000
2 Cd 0.5000 0.5000 0.5000
3 Si 0.0000 0.0000 0.5000
4 Si 0.0000 0.5000 0.0000
5 Si 0.5000 0.0000 0.0000

Output
**E_form (uncorrected)**: 0.63 eV/atom
**VASP energy**: -4.8250 eV/atom

=====

Record 18
VASP calculation (PBE) on Mg3In6Ga after structural relaxation.

Cell: 8.3960 8.3960 8.3960 Å, 106.90 106.90 106.90°
Sites, in units of the cell vectors:
1 Mg 0.1039 0.2445 0.3746
2 Mg 0.2445 0.3746 0.1039
3 Mg 0.3746 0.1039 0.2445
4 Mg 0.6254 0.8961 0.7555
5 Mg 0.7555 0.6254 0.8961
6 Mg 0.8961 0.7555 0.6254
7 In 0.0545 0.8632 0.3411
8 In 0.1368 0.6589 0.9455
9 In 0.2021 0.6508 0.5664
10 In 0.3411 0.0545 0.8632
11 In 0.3492 0.4336 0.7979
12 In 0.4336 0.7979 0.3492
13 In 0.5664 0.2021 0.6508
14 In 0.6508 0.5664 0.2021
15 In 0.6589 0.9456 0.1368
16 In 0.7979 0.3492 0.4336
17 In 0.8632 0.3411 0.0545
18 In 0.9455 0.1368 0.6589
19 Ga 0.0000 0.0000 0.0000
20 Ga 0.5000 0.5000 0.5000

Output
**VASP energy**: -2.4458 eV/atom
**E_form**: -0.022 eV/atom

=====

Record 19
VASP calculation (PBE) on ScSnHg2 after structural relaxation.

Cell: 3.5309 3.5309 7.6127 Å, 90.00 90.00 90.00°
Sites, in units of the cell vectors:
1 Sc 0.0000 0.0000 0.0000
2 Sn 0.0000 0.0000 0.5000
3 Hg 0.5000 0.5000 0.2311
4 Hg 0.5000 0.5000 0.7689

Output
**VASP energy**: -2.9183 eV/atom
**E_form**: -0.184 eV/atom

=====

Record 20
VASP calculation (PBE) on NbCl after structural relaxation.

Cell: 3.9511 3.9511 3.9511 Å, 60.00 60.00 60.00°
Sites, in units of the cell vectors:
1 Nb 0.0000 0.0000 0.0000
2 Cl 0.2500 0.2500 0.2500

Output
**E_form (uncorrected)**: 0.60 eV/atom
**VASP energy**: -5.3619 eV/atom

=====

Record 21
VASP calculation (PBE) on Tl2FeIr after structural relaxation.

Cell: 3.1048 4.5114 5.4902 Å, 90.00 93.61 90.00°
Sites, in units of the cell vectors:
1 Tl 0.2492 0.0000 0.2513
2 Tl 0.7508 0.0000 0.7487
3 Fe 0.0000 0.5000 0.5000
4 Ir 0.5000 0.5000 0.0000

Output
**VASP energy**: -4.8207 eV/atom
**E_form**: 0.693 eV/atom

=====

Record 22
VASP calculation (PBE) on Y4MgRe after structural relaxation.

Cell: 6.0760 6.0760 6.0760 Å, 60.00 60.00 60.00°
Sites, in units of the cell vectors:
1 Y 0.3770 0.3770 0.3770
2 Y 0.3770 0.3770 0.8689
3 Y 0.3770 0.8689 0.3770
4 Y 0.8689 0.3770 0.3770
5 Mg 0.0000 0.0000 0.0000
6 Re 0.7500 0.7500 0.7500

Output
**VASP energy**: -5.7847 eV/atom
**E_form**: 0.865 eV/atom

=====

Record 23
VASP calculation (PBE) on TcSeCl2 after structural relaxation.

Cell: 7.5572 7.5572 7.5572 Å, 156.92 145.08 42.28°
Sites, in units of the cell vectors:
1 Tc 0.0000 0.0000 0.0000
2 Se 0.5000 0.5000 0.0000
3 Cl 0.1387 0.6387 0.5000
4 Cl 0.8613 0.3613 0.5000

Output
**E_form (uncorrected)**: -0.07 eV/atom
**VASP energy**: -4.4551 eV/atom